A plane-wave DFT calculation with GGA-PBE was carried out for CeHo2RuN4 after structural relaxation. Values from VASP.

Cell and atoms, written as Quantum ESPRESSO input:
```
&SYSTEM
  ibrav = 0, nat = 16, ntyp = 4
/
ATOMIC_SPECIES
Ce 140.12 Ce.upf
Ho 164.93 Ho.upf
Ru 101.07 Ru.upf
N 14.01 N.upf
CELL_PARAMETERS angstrom
3.390 0.000 0.000
-1.695 5.801 0.000
0.000 0.000 11.485
ATOMIC_POSITIONS crystal
Ce 0.115 0.231 0.750
Ce 0.885 0.769 0.250
Ho 0.370 0.740 0.546
Ho 0.630 0.260 0.046
Ho 0.630 0.260 0.454
Ho 0.370 0.740 0.954
Ru 0.856 0.713 0.750
Ru 0.144 0.287 0.250
N 0.271 0.543 0.130
N 0.729 0.457 0.630
N 0.729 0.457 0.870
N 0.271 0.543 0.370
N 0.000 0.000 0.500
N 0.000 0.000 0.000
N 0.455 0.911 0.750
N 0.545 0.089 0.250
```

Results
Formation energy without anion corrections   -8.7 eV per formula unit
Final energy   -8.298 eV/atom
SG   No. 63

***

A plane-wave DFT calculation with GGA-PBE was carried out for LiTaSN2 after structural relaxation. Values from VASP.

Cell and atoms, written as Quantum ESPRESSO input:
```
&SYSTEM
  ibrav = 0, nat = 5, ntyp = 4
/
ATOMIC_SPECIES
S 32.06 S.upf
N 14.01 N.upf
Li 6.94 Li.upf
Ta 180.95 Ta.upf
CELL_PARAMETERS angstrom
-0.410 3.766 1.379
-2.945 -1.223 2.466
3.374 -0.938 3.564
ATOMIC_POSITIONS crystal
S 0.000 0.000 0.500
N 0.000 0.500 0.000
N 0.500 0.000 0.000
Li 0.500 0.500 0.500
Ta 0.000 0.000 0.000
```

Results
Energy relative to the lowest polymorph listed for this composition   0.0 meV per atom
Formation energy without anion corrections   -0.9 eV per formula unit
Final energy   -7.098 eV/atom
SG   No. 123

***

A plane-wave DFT calculation with GGA-PBE was carried out for Ba4Ag2Au after structural relaxation. Values from VASP.

Cell and atoms, written as Quantum ESPRESSO input:
```
&SYSTEM
  ibrav = 0, nat = 7, ntyp = 3
/
ATOMIC_SPECIES
Au 196.97 Au.upf
Ba 137.33 Ba.upf
Ag 107.87 Ag.upf
CELL_PARAMETERS angstrom
4.739 0.000 -1.338
-0.394 6.964 -1.396
-0.011 -0.047 9.020
ATOMIC_POSITIONS crystal
Au 0.000 0.000 0.000
Ba 0.159 0.813 0.317
Ba 0.841 0.187 0.683
Ba 0.415 0.719 0.830
Ba 0.585 0.281 0.170
Ag 0.236 0.379 0.471
Ag 0.764 0.621 0.529
```

Results
Energy relative to the lowest polymorph listed for this composition   0.0 meV per atom
E_form   -0.361 eV per atom
Final energy   -2.743 eV/atom
SG   No. 12

***

Question: Which formula does entry 2 have?
Answer: LiTaSN2

***

Question: final energy of number 1 (CeHo2RuN4)?
Answer: -8.298 eV/atom